[1]
A plane-wave DFT calculation with PBE-GGA was carried out for a geometry-optimized RbBaCa2 structure.

Lattice parameters (Å, degrees): 4.534 7.037 7.037 90.00 90.00 90.00
Positions (direct):
Ba1 0.500 0.000 0.000
Ca1 0.000 0.000 0.500
Ca2 0.000 0.500 0.000
Rb1 0.500 0.500 0.500

## Properties
energy above the most stable polymorph in this dataset: 0.0209 eV/atom
VASP energy: -1.54 eV per atom


[2]
A plane-wave DFT calculation with PBE-GGA was carried out for a geometry-optimized RbBa2CaRh structure.

Lattice parameters (Å, degrees): 6.291 6.291 5.859 90.00 90.00 90.00
Positions (direct):
Rb1 0.500 0.500 0.500
Ba1 0.000 0.500 0.000
Ba2 0.500 0.000 0.000
Ca1 0.000 0.000 0.500
Rh1 0.000 0.000 0.000

## Properties
VASP energy: -2.91 eV per atom


[3]
A plane-wave DFT calculation with PBE-GGA was carried out for a geometry-optimized RbBaCa2Rh structure.

Lattice parameters (Å, degrees): 5.628 5.628 6.568 90.00 90.00 90.00
Positions (direct):
Rh1 0.000 0.000 0.000
Rb1 0.000 0.000 0.500
Ca1 0.500 0.000 0.000
Ca2 0.000 0.500 0.000
Ba1 0.500 0.500 0.500

## Properties
energy above the most stable polymorph in this dataset: 0.1932 eV/atom
VASP energy: -2.75 eV per atom


[4]
A plane-wave DFT calculation with PBE-GGA was carried out for a geometry-optimized RbBaCa2Rh structure.

Lattice parameters (Å, degrees): 5.811 5.811 6.225 90.00 90.00 90.00
Positions (direct):
Rb1 0.500 0.500 0.500
Ba1 0.000 0.000 0.500
Ca1 0.500 0.000 0.000
Ca2 0.000 0.500 0.000
Rh1 0.000 0.000 0.000

## Properties
energy above the most stable polymorph in this dataset: 0.0000 eV/atom
VASP energy: -2.95 eV per atom


[5]
A plane-wave DFT calculation with PBE-GGA was carried out for a geometry-optimized RbBaCaSn2 structure.

Lattice parameters (Å, degrees): 5.946 5.944 5.946 90.00 90.00 90.00
Positions (direct):
Rb1 0.000 0.500 0.000
Ca1 0.000 0.000 0.000
Sn1 0.500 0.000 0.000
Sn2 0.000 0.000 0.500
Ba1 0.500 0.500 0.500

## Properties
VASP energy: -2.58 eV per atom


[6]
A plane-wave DFT calculation with PBE-GGA was carried out for a geometry-optimized RbBaCa2W structure.

Lattice parameters (Å, degrees): 5.603 5.917 5.603 90.00 90.00 90.00
Positions (direct):
Rb1 0.000 0.000 0.000
W1 0.500 0.500 0.500
Ba1 0.000 0.500 0.000
Ca1 0.000 0.000 0.500
Ca2 0.500 0.000 0.000

## Properties
VASP energy: -1.81 eV per atom


[7]
A plane-wave DFT calculation with PBE-GGA was carried out for a geometry-optimized RbBa2CaZn structure.

Lattice parameters (Å, degrees): 6.657 6.657 6.186 90.00 90.00 90.00
Positions (direct):
Zn1 0.000 0.000 0.000
Rb1 0.500 0.500 0.500
Ba1 0.500 0.000 0.000
Ba2 0.000 0.500 0.000
Ca1 0.000 0.000 0.500

## Properties
VASP energy: -1.58 eV per atom


[8]
A plane-wave DFT calculation with PBE-GGA was carried out for a geometry-optimized BaCaRe4 structure.

Lattice parameters (Å, degrees): 5.545 5.545 5.545 60.00 60.00 60.00
Positions (direct):
Re1 0.375 0.375 0.375
Re2 0.876 0.375 0.375
Re3 0.375 0.876 0.375
Re4 0.375 0.375 0.876
Ca1 0.000 0.000 0.000
Ba1 0.750 0.750 0.750

## Properties
VASP energy: -8.31 eV per atom


no.,calculated formation energy (meV/atom),DOS(E_F) (states/eV/cell),magnetization (μB/atom)
1,184,4.8,0.00
2,-80,4.4,0.00
3,95,4.8,0.00
4,-98,4.4,0.00
5,-1,5.1,0.00
6,2162,11.0,0.03
7,34,5.5,0.00
8,646,6.4,0.00